Material: CeNp2CrS6
Method: DFT, GGA-PBE
State: optimized geometry

For the uncorrected formation energy, the calculation gives -1.268 eV/atom. For the electronic total energy, the calculation gives -0.5798 Ry per atom. As for the total magnetization: 12.0 μB per formula unit.

The structure belongs to space group R3 (No. 146, hexagonal axes); the cell edges are 6.7789, 6.7789 and 18.1479 Å and the angles 90.00°, 90.00° and 120.00°. The distinct sites, in fractional coordinates, are Ce at (0.0000, 0.0000, 0.0000), Np at (0.0000, 0.0000, 0.2934), Np at (0.0000, 0.0000, 0.8024), Cr at (0.0000, 0.0000, 0.4893), S at (0.0003, 0.3667, 0.2295) and S at (0.0046, 0.7165, 0.4007).